Entry 1:
An optimized crystal structure of V6Si5, computed with PBE-GGA.

abc: 9.118 9.118 9.118
angles: 149.19 131.61 58.47
Fractional coordinates of all 22 atoms:
V (0.310, 0.060, 0.750)
V (0.690, 0.440, 0.750)
V (0.690, 0.940, 0.250)
V (0.310, 0.560, 0.250)
V (0.256, 0.143, 0.113)
V (0.744, 0.857, 0.887)
V (0.970, 0.357, 0.613)
V (0.030, 0.643, 0.387)
V (0.681, 0.435, 0.247)
V (0.319, 0.565, 0.753)
V (0.812, 0.065, 0.747)
V (0.188, 0.935, 0.253)
Si (0.000, 0.750, 0.750)
Si (0.000, 0.250, 0.250)
Si (0.583, 0.286, 0.298)
Si (0.417, 0.714, 0.702)
Si (0.012, 0.214, 0.798)
Si (0.988, 0.786, 0.202)
Si (0.474, 0.064, 0.410)
Si (0.526, 0.936, 0.590)
Si (0.346, 0.436, 0.910)
Si (0.654, 0.564, 0.090)

**Relative energy among the computed polymorphs**: 0 meV/atom
**Energy relative to the elements, uncorrected**: -545 meV/atom


Entry 2:
An optimized crystal structure of Sn2SbCl2, computed with PBE-GGA.

abc: 5.628 5.628 6.086
angles: 62.46 62.46 90.00
Fractional coordinates of all 5 atoms:
Sb (0.000, 0.000, 0.000)
Sn (0.750, 0.250, 0.500)
Sn (0.250, 0.750, 0.500)
Cl (0.340, 0.340, 0.319)
Cl (0.660, 0.660, 0.681)

**Relative energy among the computed polymorphs**: 263 meV/atom
**Energy relative to the elements, uncorrected**: -84 meV/atom


Entry 3:
An optimized crystal structure of Mn2TlCu, computed with PBE-GGA.

abc: 8.480 8.480 8.480
angles: 21.32 21.32 21.32
Last column: magnetic moment on the atom in μB.
Fractional coordinates of all 4 atoms:
Cu (0.750, 0.750, 0.750)  0.15
Mn (0.012, 0.012, 0.012)  3.71
Mn (0.488, 0.488, 0.488)  3.71
Tl (0.250, 0.250, 0.250)  -0.05

**Energy of formation from the pure elements**: 0.5353 eV/atom


Entry 4:
An optimized crystal structure of PmErS2, computed with PBE-GGA.

abc: 3.932 3.922 6.915
angles: 106.53 90.00 120.08
Fractional coordinates of all 4 atoms:
Pm (0.500, 0.500, 0.000)
Er (0.000, 0.500, 0.500)
S (0.255, 0.011, 0.267)
S (0.745, 0.989, 0.733)

**Relative energy among the computed polymorphs**: 0 meV/atom
**Energy relative to the elements, uncorrected**: -2002 meV/atom


Entry 5:
An optimized crystal structure of AlNiHRu2, computed with PBE-GGA.

abc: 4.079 4.079 3.288
angles: 90.00 90.00 90.00
Fractional coordinates of all 5 atoms:
Ru (0.000, 0.500, 0.000)
Ru (0.500, 0.000, 0.000)
Al (0.500, 0.500, 0.500)
H (0.000, 0.000, 0.000)
Ni (0.000, 0.000, 0.500)

**E**: -32.37 eV per cell


Entry 6:
An optimized crystal structure of BaMgAg2, computed with PBE-GGA.

abc: 6.126 6.126 6.126
angles: 141.90 126.72 67.36
Fractional coordinates of all 4 atoms:
Ag (0.007, 0.007, 0.000)
Ag (0.213, 0.713, 0.500)
Ba (0.493, 0.493, 0.000)
Mg (0.787, 0.287, 0.500)

**Energy of formation from the pure elements**: -0.0125 eV/atom


Entry 7:
An optimized crystal structure of KCaY2, computed with PBE-GGA.

abc: 6.267 6.267 3.923
angles: 90.00 90.00 90.00
Fractional coordinates of all 4 atoms:
Ca (0.500, 0.000, 0.500)
K (0.000, 0.500, 0.500)
Y (0.000, 0.000, 0.000)
Y (0.500, 0.500, 0.000)

**Energy of formation from the pure elements**: 0.5107 eV/atom
**Relative energy among the computed polymorphs**: 328 meV/atom


Entry 8:
An optimized crystal structure of Sm2BrO2, computed with PBE-GGA.

abc: 4.138 4.138 6.593
angles: 108.09 108.09 90.00
Last column: magnetic moment on the atom in μB.
Fractional coordinates of all 5 atoms:
Sm (0.661, 0.661, 0.321)  0.21
Sm (0.339, 0.339, 0.679)  0.21
Br (0.000, 0.000, 0.000)  0.03
O (0.250, 0.750, 0.500)  0.01
O (0.750, 0.250, 0.500)  0.01

**Energy relative to the elements, uncorrected**: -2790 meV/atom


Entry 9:
An optimized crystal structure of Mn2GeMo, computed with PBE-GGA.

abc: 3.006 3.006 5.670
angles: 90.00 90.00 90.00
Fractional coordinates of all 4 atoms:
Mo (0.500, 0.500, 0.500)
Mn (0.000, 0.000, 0.755)
Mn (0.000, 0.000, 0.245)
Ge (0.500, 0.500, 0.000)

**Energy of formation from the pure elements**: -0.0033 eV/atom


Entry 10:
An optimized crystal structure of LaTl3, computed with PBE-GGA.

abc: 6.455 6.455 6.455
angles: 116.83 116.83 116.83
Fractional coordinates of all 4 atoms:
La (0.000, 0.000, 0.000)
Tl (0.000, 0.500, 0.500)
Tl (0.500, 0.000, 0.500)
Tl (0.500, 0.500, 0.000)

**Energy of formation from the pure elements**: -0.1812 eV/atom


Entry 11:
An optimized crystal structure of CaCdS2Cl, computed with PBE-GGA.

abc: 4.971 4.971 5.223
angles: 90.00 90.00 90.00
Fractional coordinates of all 5 atoms:
Ca (0.500, 0.500, 0.500)
Cl (0.000, 0.000, 0.500)
S (0.000, 0.500, 0.000)
S (0.500, 0.000, 0.000)
Cd (0.000, 0.000, 0.000)

**Relative energy among the computed polymorphs**: 0 meV/atom
**Energy relative to the elements, uncorrected**: -716 meV/atom


Entry 12:
An optimized crystal structure of CaBe2Ru, computed with PBE-GGA.

abc: 4.993 4.993 4.993
angles: 144.19 125.40 67.03
Fractional coordinates of all 4 atoms:
Ru (0.206, 0.706, 0.500)
Ca (0.499, 0.499, 0.000)
Be (0.004, 0.004, 0.000)
Be (0.790, 0.290, 0.500)

**Energy of formation from the pure elements**: 0.3507 eV/atom
**Relative energy among the computed polymorphs**: 483 meV/atom